Below is a relaxed BeNb3Co2 crystal, with properties calculated at the PBE level.

Summary:
- raw total energy (eV per atom) = -8.0924

a b c (Å): 9.9314 3.6490 9.4717
angles (deg): 90.00 90.00 90.00
Space group Pnma (No. 62)
One atom of each set of equivalent atoms:
Be 0.1309 0.2500 0.1158 x4
Nb 0.0584 0.2500 0.3713 x4
Nb 0.1262 0.7500 0.9285 x4
Nb 0.2042 0.2500 0.6945 x4
Co 0.0198 0.7500 0.1788 x4
Co 0.1769 0.7500 0.5026 x4

---

Below is a relaxed Na3Tl3ZnCl8 crystal, with properties calculated at the PBE level.

Summary:
- formation energy without anion corrections (eV per formula unit) = -19.929

a b c (Å): 14.2214 8.2005 8.8112
angles (deg): 90.00 122.58 90.00
Space group C2/m (No. 12)
One atom of each set of equivalent atoms:
Na 0.0000 0.0000 0.0000 x2
Na 0.2500 0.2500 0.0000 x4
Tl 0.0000 0.5000 0.5000 x2
Tl 0.2500 0.2500 0.5000 x4
Zn 0.0000 0.5000 0.0000 x2
Cl 0.0103 0.2781 0.8095 x8
Cl 0.2115 0.5000 0.1908 x4
Cl 0.2366 0.0000 0.2090 x4

---

Below is a relaxed CsSc4Se6 crystal, with properties calculated at the PBE level.

Summary:
- formation energy without anion corrections (eV per formula unit) = -17.420

a b c (Å): 3.9656 13.2719 21.1593
angles (deg): 90.00 90.00 90.00
Space group Cmcm (No. 63)
One atom of each set of equivalent atoms:
Cs 0.0000 0.1626 0.2500 x4
Sc 0.0000 0.0943 0.6299 x8
Sc 0.0000 0.3677 0.5375 x8
Se 0.0000 0.0000 0.0000 x4
Se 0.0000 0.1285 0.7500 x4
Se 0.0000 0.2714 0.0794 x8
Se 0.0000 0.4639 0.6447 x8

---

Below is a relaxed GeBr2N2 crystal, with properties calculated at the PBE level.

Summary:
- formation energy without anion corrections (eV per formula unit) = -1.672

a b c (Å): 7.0551 4.0659 10.9069
angles (deg): 90.00 95.27 90.00
Space group C2/m (No. 12)
One atom of each set of equivalent atoms:
Ge 0.0000 0.0000 0.0000 x2
Br 0.1459 0.5000 0.8521 x4
N 0.0501 0.0000 0.4634 x4

---

Below is a relaxed Ho4Cu2S crystal, with properties calculated at the PBE level.

Summary:
- formation energy without anion corrections (eV per formula unit) = -4.798

a b c (Å): 12.6715 3.8180 8.2204
angles (deg): 90.00 125.27 90.00
Space group C2/m (No. 12)
One atom of each set of equivalent atoms:
Ho 0.0929 0.0000 0.3937 x4
Ho 0.1729 0.5000 0.0813 x4
Cu 0.1142 0.5000 0.6732 x4
S 0.0000 0.0000 0.0000 x2

---

Below is a relaxed LaHf2Ti2 crystal, with properties calculated at the PBE level.

Summary:
- energy above the lowest structure with this stoichiometry (meV per atom) = 0

a b c (Å): 8.4811 8.4811 3.2204
angles (deg): 90.00 90.00 90.00
Space group P4/mbm (No. 127)
One atom of each set of equivalent atoms:
La 0.0000 0.0000 0.0000 x2
Hf 0.1737 0.3263 0.5000 x4
Ti 0.1144 0.6144 0.0000 x4

---

Below is a relaxed Sr2NiHRh crystal, with properties calculated at the PBE level.

Summary:
- energy above the lowest structure with this stoichiometry (meV per atom) = 0

a b c (Å): 5.3130 5.3130 3.5585
angles (deg): 90.00 90.00 90.00
Space group P4/mmm (No. 123)
One atom of each set of equivalent atoms:
Sr 0.0000 0.5000 0.0000 x2
Ni 0.0000 0.0000 0.5000 x1
H 0.5000 0.5000 0.0000 x1
Rh 0.5000 0.5000 0.5000 x1

---

Below is a relaxed Tm5Ni4 crystal, with properties calculated at the PBE level.

Summary:
- raw total energy (eV per atom) = -5.4800

a b c (Å): 10.1106 3.6407 10.5553
angles (deg): 90.00 105.77 90.00
Space group C2/m (No. 12)
One atom of each set of equivalent atoms:
Tm 0.0000 0.0000 0.0000 x2
Tm 0.1104 0.0000 0.3964 x4
Tm 0.2227 0.0000 0.8041 x4
Ni 0.0103 0.5000 0.8077 x4
Ni 0.1035 0.5000 0.6037 x4

---

Below is a relaxed ZnCrTc2C crystal, with properties calculated at the PBE level.

Summary:
- raw total energy (eV per atom) = -8.0141

a b c (Å): 4.0673 4.0673 3.9082
angles (deg): 90.00 90.00 90.00
Space group P4/mmm (No. 123)
One atom of each set of equivalent atoms:
Zn 0.0000 0.0000 0.0000 x1
Cr 0.5000 0.5000 0.0000 x1
Tc 0.0000 0.5000 0.5000 x2
C 0.5000 0.5000 0.5000 x1

---

Below is a relaxed NdNpNiS4 crystal, with properties calculated at the PBE level.

Summary:
- formation energy without anion corrections (eV per formula unit) = -9.254

a b c (Å): 6.4808 5.7017 7.8364
angles (deg): 90.00 106.79 90.00
Space group P2_1/m (No. 11)
One atom of each set of equivalent atoms:
Nd 0.2362 0.2500 0.4334 x2
Np 0.2516 0.2500 0.9406 x2
Ni 0.2634 0.7500 0.1790 x2
S 0.0707 0.7500 0.3763 x2
S 0.0740 0.7500 0.8997 x2
S 0.4830 0.5115 0.7541 x4

---

Below is a relaxed ZrCdOs crystal, with properties calculated at the PBE level.

Summary:
- energy above the lowest structure with this stoichiometry (meV per atom) = 345

a b c (Å): 3.2185 3.2185 6.7543
angles (deg): 90.00 90.00 120.00
Space group P3m1 (No. 156)
One atom of each set of equivalent atoms:
Zr 0.0000 0.0000 0.0000 x1
Cd 0.6667 0.3333 0.3841 x1
Os 0.3333 0.6667 0.7249 x1

---

Below is a relaxed Ca3In12Pb crystal, with properties calculated at the PBE level.

Summary:
- raw total energy (eV per atom) = -2.8873

a b c (Å): 4.7742 4.7742 18.8764
angles (deg): 90.00 90.00 90.00
Space group P4/mmm (No. 123)
One atom of each set of equivalent atoms:
Ca 0.0000 0.0000 0.0000 x1
Ca 0.0000 0.0000 0.2481 x2
In 0.0000 0.5000 0.1240 x4
In 0.0000 0.5000 0.3719 x4
In 0.5000 0.5000 0.0000 x1
In 0.5000 0.5000 0.2442 x2
In 0.5000 0.5000 0.5000 x1
Pb 0.0000 0.0000 0.5000 x1

---

Below is a relaxed Ta2ZnSiRh crystal, with properties calculated at the PBE level.

Summary:
- formation energy without anion corrections (eV per formula unit) = 6.304

a b c (Å): 4.6553 4.6553 4.4477
angles (deg): 90.00 90.00 90.00
Space group P4/mmm (No. 123)
One atom of each set of equivalent atoms:
Ta 0.0000 0.5000 0.0000 x2
Zn 0.0000 0.0000 0.0000 x1
Si 0.5000 0.5000 0.5000 x1
Rh 0.0000 0.0000 0.5000 x1

---

Below is a relaxed PrGdNiHg crystal, with properties calculated at the PBE level.

Summary:
- raw total energy (eV per atom) = -6.5280

a b c (Å): 7.3283 7.3283 7.3283
angles (deg): 90.00 90.00 90.00
Space group F-43m (No. 216)
One atom of each set of equivalent atoms:
Pr 0.0000 0.0000 0.0000 x4
Gd 0.0000 0.0000 0.5000 x4
Ni 0.2500 0.2500 0.2500 x4
Hg 0.2500 0.2500 0.7500 x4

---

Below is a relaxed Na2Dy3TmTe6 crystal, with properties calculated at the PBE level.

Summary:
- formation energy without anion corrections (eV per formula unit) = -15.479

a b c (Å): 7.5793 13.1122 7.6809
angles (deg): 90.00 109.11 90.00
Space group C2/m (No. 12)
One atom of each set of equivalent atoms:
Na 0.0000 0.1653 0.0000 x4
Dy 0.0000 0.0000 0.5000 x2
Dy 0.0000 0.3299 0.5000 x4
Tm 0.0000 0.5000 0.0000 x2
Te 0.2414 0.5000 0.7450 x4
Te 0.2471 0.3362 0.2503 x8

---

Below is a relaxed KScTe2 crystal, with properties calculated at the PBE level.

Summary:
- formation energy without anion corrections (eV per formula unit) = -2.338

a b c (Å): 4.4828 4.4828 11.5215
angles (deg): 90.00 90.00 90.00
Space group I-4m2 (No. 119)
One atom of each set of equivalent atoms:
K 0.0000 0.0000 0.0000 x2
Sc 0.0000 0.5000 0.7500 x2
Te 0.0000 0.0000 0.5000 x2
Te 0.0000 0.5000 0.2500 x2

---

Below is a relaxed HfTiReMo crystal, with properties calculated at the PBE level.

Summary:
- raw total energy (eV per atom) = -10.4490

a b c (Å): 6.4369 6.4369 6.4369
angles (deg): 90.00 90.00 90.00
Space group F-43m (No. 216)
One atom of each set of equivalent atoms:
Hf 0.0000 0.0000 0.0000 x4
Ti 0.0000 0.0000 0.5000 x4
Re 0.2500 0.2500 0.2500 x4
Mo 0.2500 0.2500 0.7500 x4

---

Below is a relaxed Ba2H2Pt crystal, with properties calculated at the PBE level.

Summary:
- energy above the lowest structure with this stoichiometry (meV per atom) = 0

a b c (Å): 16.8008 4.4993 7.7824
angles (deg): 90.00 117.56 90.00
Space group C2/c (No. 15)
One atom of each set of equivalent atoms:
Ba 0.1276 0.2493 0.2110 x8
H 0.1896 0.2510 0.6065 x8
Pt 0.0000 0.2506 0.7500 x4

---

Below is a relaxed TlCdSb2Te crystal, with properties calculated at the PBE level.

Summary:
- energy above the lowest structure with this stoichiometry (meV per atom) = 354
- formation energy without anion corrections (eV per formula unit) = 4.014

a b c (Å): 5.7515 5.7515 5.8301
angles (deg): 90.00 90.00 90.00
Space group P4/mmm (No. 123)
One atom of each set of equivalent atoms:
Tl 0.0000 0.0000 0.0000 x1
Cd 0.5000 0.5000 0.5000 x1
Sb 0.0000 0.5000 0.0000 x2
Te 0.0000 0.0000 0.5000 x1

---

Below is a relaxed Nd6P3Se2Cl crystal, with properties calculated at the PBE level.

Summary:
- formation energy without anion corrections (eV per formula unit) = -20.792

a b c (Å): 18.4307 4.1562 8.4824
angles (deg): 90.00 105.03 90.00
Space group C2/m (No. 12)
One atom of each set of equivalent atoms:
Nd 0.0052 0.0000 0.2281 x4
Nd 0.1632 0.5000 0.0944 x4
Nd 0.1752 0.5000 0.5733 x4
P 0.0000 0.5000 0.0000 x2
P 0.1656 0.0000 0.3336 x4
Se 0.1642 0.0000 0.8285 x4
Cl 0.0000 0.5000 0.5000 x2

---

Below is a relaxed PSe crystal, with properties calculated at the PBE level.

Summary:
- energy above the lowest structure with this stoichiometry (meV per atom) = 314
- formation energy without anion corrections (eV per formula unit) = 0.467

a b c (Å): 3.2904 3.3631 10.3279
angles (deg): 90.00 90.00 90.00
Space group Amm2 (No. 38)
One atom of each set of equivalent atoms:
P 0.0000 0.0000 0.0000 x2
Se 0.5000 0.0000 0.8496 x2

---

Below is a relaxed Tl3IrF6 crystal, with properties calculated at the PBE level.

Summary:
- energy above the lowest structure with this stoichiometry (meV per atom) = 98
- formation energy without anion corrections (eV per formula unit) = -15.548

a b c (Å): 10.6544 13.3243 5.0823
angles (deg): 90.00 90.00 90.00
Space group Cmc2_1 (No. 36)
One atom of each set of equivalent atoms:
Tl 0.0000 0.0884 0.0000 x4
Tl 0.1628 0.3862 0.2590 x8
Ir 0.0000 0.3134 0.5923 x4
F 0.0000 0.1759 0.4297 x4
F 0.0000 0.4395 0.8235 x4
F 0.1312 0.2563 0.8530 x8
F 0.2265 0.0399 0.4686 x8

---

Below is a relaxed La3Er4Th crystal, with properties calculated at the PBE level.

Summary:
- raw total energy (eV per atom) = -4.9041

a b c (Å): 3.4532 11.7641 13.1923
angles (deg): 90.00 90.00 90.00
Space group Immm (No. 71)
One atom of each set of equivalent atoms:
La 0.0000 0.0000 0.0000 x2
La 0.0000 0.5000 0.2321 x4
Er 0.0000 0.2504 0.3668 x8
Th 0.0000 0.0000 0.5000 x2